First-principles (PBE) data for Tm2NiBPt6 after structural relaxation, as listed in the Alexandria database.

Lattice parameters (Å, degrees): 5.5453 5.5453 19.6133 90.00 90.00 120.00
Space group R-3m (No. 166, hexagonal axes)
Asymmetric unit:
Tm: 0.0000 0.0000 0.2052 [6 per cell]
Ni: 0.0000 0.0000 0.5000 [3 per cell]
B: 0.0000 0.0000 0.0000 [3 per cell]
Pt: 0.0085 0.5043 0.2664 [18 per cell]

Properties
- Formation enthalpy at 0 K: -0.785 eV/atom
- Total moment: 0.009 μB per cell